Entry 1:
Compound: NpGa4Ir2Os
Source: Alexandria via LeMat-Bulk
Functional: PBE-GGA
Structure: relaxed

a b c (Å): 4.2611 4.2611 8.8972
angles (deg): 76.15 76.15 60.00
With the nearest neighbours (Å) after each atom.
Atoms (fractional coordinates):
1 Ga 0.3991 0.3991 0.8028  3 Ir 2.57, 1 Os 2.59
2 Ir 0.7608 0.7608 0.7177  7 Ga 2.57-2.76
3 Os 0.5000 0.5000 0.5000  8 Ga 2.59-2.62
4 Ir 0.2392 0.2392 0.2823  7 Ga 2.57-2.76
5 Ga 0.6009 0.6009 0.1972  3 Ir 2.57, 1 Os 2.59
6 Ga 0.8683 0.8683 0.3951  3 Os 2.62, 4 Ir 2.64-2.76
7 Ga 0.1317 0.1317 0.6049  3 Os 2.62, 4 Ir 2.64-2.76
8 Np 0.0000 0.0000 0.0000  6 Ga 2.98

Computed properties:
Formation energy from the elements = -18.0 kJ/mol of atoms
Space-group type = R-3m, No. 166

Entry 2:
Compound: TlAg2Os
Source: Alexandria via LeMat-Bulk
Functional: PBE-GGA
Structure: relaxed

a b c (Å): 10.1587 10.1587 10.1587
angles (deg): 16.67 16.67 16.67
With the nearest neighbours (Å) after each atom.
Atoms (fractional coordinates):
1 Ag 0.9930 0.9930 0.9930  3 Os 2.86, 6 Ag 2.94
2 Tl 0.7500 0.7500 0.7500  6 Tl 2.94, 6 Ag 3.20
3 Os 0.2500 0.2500 0.2500  6 Ag 2.86, 6 Os 2.94
4 Ag 0.5070 0.5070 0.5070  3 Os 2.86, 6 Ag 2.94

Computed properties:
Formation energy from the elements = 66.9 kJ/mol of atoms
Space-group type = R-3m, No. 166
ΔE to the lowest computed polymorph = 58 meV/atom

Entry 3:
Compound: BaBePb2
Source: Alexandria via LeMat-Bulk
Functional: PBE-GGA
Structure: relaxed

a b c (Å): 5.1541 5.1541 6.7146
angles (deg): 69.88 69.88 49.41
With the nearest neighbours (Å) after each atom.
Atoms (fractional coordinates):
1 Pb 0.0532 0.0532 0.8888  3 Be 2.77-2.99
2 Ba 0.4603 0.4603 0.5179  6 Pb 3.55-3.68, 3 Be 3.57-3.75
3 Pb 0.2636 0.2636 0.1575  2 Be 2.73
4 Be 0.7230 0.7230 0.9358  5 Pb 2.73-2.99

Computed properties:
Formation energy from the elements = 3.1 kJ/mol of atoms
Space-group type = Cm, No. 8

Entry 4:
Compound: Er2PuTlO8
Source: Alexandria via LeMat-Bulk
Functional: PBE-GGA
Structure: relaxed

a b c (Å): 4.9897 4.9873 7.1141
angles (deg): 90.00 90.00 93.06
With the nearest neighbours (Å) after each atom.
Atoms (fractional coordinates):
1 O 0.3014 0.3015 0.5000  1 Tl 2.07, 2 Er 2.23
2 O 0.2942 0.2942 0.0000  1 Pu 2.02
3 O 0.8097 0.1905 0.2080  1 Pu 2.02, 1 Er 2.26
4 Tl 0.0000 0.0000 0.5000  2 O 2.07
5 O 0.1903 0.8095 0.7920  1 Pu 2.02, 1 Er 2.26
6 O 0.1904 0.8095 0.2080  1 Pu 2.02, 1 Er 2.26
7 Er 0.5000 0.5000 0.2512  6 O 2.23-2.28
8 O 0.8096 0.1905 0.7920  1 Pu 2.02, 1 Er 2.26
9 O 0.7058 0.7058 0.0000  1 Pu 2.02
10 Er 0.5000 0.5000 0.7488  6 O 2.23-2.28
11 Pu 0.0000 0.0000 0.0000  6 O 2.02
12 O 0.6986 0.6985 0.5000  1 Tl 2.07, 2 Er 2.23

Computed properties:
Space-group type = Cmmm, No. 65
E_form (uncorrected) = -2.495 eV per atom

Entry 5:
Compound: RuSI2
Source: Alexandria via LeMat-Bulk
Functional: PBE-GGA
Structure: relaxed

a b c (Å): 4.9303 4.9303 4.9303
angles (deg): 60.00 60.00 60.00
With the nearest neighbours (Å) after each atom.
Atoms (fractional coordinates):
1 I 0.2500 0.2500 0.2500  4 S 3.02, 4 Ru 3.02
2 Ru 0.5000 0.5000 0.5000  8 I 3.02
3 I 0.7500 0.7500 0.7500  4 S 3.02, 4 Ru 3.02
4 S 0.0000 0.0000 0.0000  8 I 3.02

Computed properties:
Space-group type = Fm-3m, No. 225
E_form (uncorrected) = 1.066 eV per atom
ΔE to the lowest computed polymorph = 357 meV/atom

Entry 6:
Compound: Tl2PbS
Source: Alexandria via LeMat-Bulk
Functional: PBE-GGA
Structure: relaxed

a b c (Å): 5.4079 5.4079 5.4079
angles (deg): 60.00 60.00 60.00
With the nearest neighbours (Å) after each atom.
Atoms (fractional coordinates):
1 Tl 0.2500 0.2500 0.2500  4 S 3.31, 4 Pb 3.31
2 S 0.0000 0.0000 0.0000  8 Tl 3.31
3 Tl 0.7500 0.7500 0.7500  4 S 3.31, 4 Pb 3.31
4 Pb 0.5000 0.5000 0.5000  8 Tl 3.31

Computed properties:
Space-group type = Fm-3m, No. 225
E_form (uncorrected) = 0.108 eV per atom
ΔE to the lowest computed polymorph = 191 meV/atom

no.,electronic total energy (eV per atom)
1,-6.937
2,-4.132
3,-3.234
4,-7.953
5,-3.060
6,-3.034